# 1
Density functional theory data (PBE-GGA) for a relaxed La2ScOs crystal.

a = 7.373 Å, b = 7.373 Å, c = 7.373 Å
α = 90.00°, β = 90.00°, γ = 90.00°
Space group Fm-3m (No. 225)
Symmetry-distinct sites (fractional):
La  0.250  0.250  0.250 x8
Sc  0.000  0.000  0.000 x4
Os  0.000  0.000  0.500 x4

energy of formation = 0.199 eV per atom



# 2
Density functional theory data (PBE-GGA) for a relaxed LaSc2Os crystal.

a = 3.276 Å, b = 3.276 Å, c = 8.828 Å
α = 90.00°, β = 90.00°, γ = 90.00°
Space group P4/mmm (No. 123)
Symmetry-distinct sites (fractional):
La  0.000  0.000  0.000 x1
Sc  0.500  0.500  0.328 x2
Os  0.000  0.000  0.500 x1

energy of formation = -0.255 eV per atom



# 3
Density functional theory data (PBE-GGA) for a relaxed La2ScOs2 crystal.

a = 7.308 Å, b = 7.308 Å, c = 4.547 Å
α = 90.00°, β = 90.00°, γ = 90.00°
Space group P4/mbm (No. 127)
Symmetry-distinct sites (fractional):
La  0.181  0.319  0.000 x4
Sc  0.000  0.000  0.500 x2
Os  0.119  0.619  0.500 x4

energy of formation = -0.047 eV per atom



# 4
Density functional theory data (PBE-GGA) for a relaxed LaSc2Os crystal.

a = 7.034 Å, b = 7.034 Å, c = 7.034 Å
α = 90.00°, β = 90.00°, γ = 90.00°
Space group F-43m (No. 216)
Symmetry-distinct sites (fractional):
La  0.000  0.000  0.000 x4
Sc  0.000  0.000  0.500 x4
Sc  0.250  0.250  0.250 x4
Os  0.250  0.250  0.750 x4

energy of formation = 0.042 eV per atom



# 5
Density functional theory data (PBE-GGA) for a relaxed LaSc2Os crystal.

a = 3.259 Å, b = 4.447 Å, c = 5.907 Å
α = 90.00°, β = 90.00°, γ = 90.00°
Space group Pmmm (No. 47)
Symmetry-distinct sites (fractional):
La  0.000  0.000  0.000 x1
Sc  0.500  0.500  0.283 x2
Os  0.000  0.000  0.500 x1

energy of formation = 0.110 eV per atom



# 6
Density functional theory data (PBE-GGA) for a relaxed La2ScOs crystal.

a = 3.801 Å, b = 5.221 Å, c = 10.615 Å
α = 90.00°, β = 90.00°, γ = 90.00°
Space group Immm (No. 71)
Symmetry-distinct sites (fractional):
La  0.000  0.000  0.196 x4
Sc  0.000  0.500  0.000 x2
Os  0.000  0.500  0.500 x2

energy of formation = 0.027 eV per atom



# 7
Density functional theory data (PBE-GGA) for a relaxed La2ScOs crystal.

a = 10.101 Å, b = 10.101 Å, c = 5.227 Å
α = 90.00°, β = 90.00°, γ = 90.00°
Space group I-42d (No. 122)
Symmetry-distinct sites (fractional):
La  0.111  0.750  0.125 x8
Sc  0.000  0.000  0.500 x4
Os  0.000  0.000  0.000 x4

energy of formation = 0.153 eV per atom



# 8
Density functional theory data (PBE-GGA) for a relaxed La2ScOs crystal.

a = 3.9924 Å, b = 3.9924 Å, c = 27.0722 Å
α = 90.00°, β = 90.00°, γ = 120.00°
Space group R-3m (No. 166, hexagonal axes)
Symmetry-distinct sites (fractional):
La  0.0000  0.0000  0.2272 x6
Sc  0.0000  0.0000  0.0000 x3
Os  0.0000  0.0000  0.5000 x3

energy of formation = 0.245 eV per atom



# 9
Density functional theory data (PBE-GGA) for a relaxed LaScOsSe2 crystal.

a = 5.517 Å, b = 5.517 Å, c = 6.129 Å
α = 90.00°, β = 90.00°, γ = 90.00°
Space group P4/mmm (No. 123)
Symmetry-distinct sites (fractional):
La  0.000  0.000  0.000 x1
Sc  0.000  0.000  0.500 x1
Os  0.500  0.500  0.500 x1
Se  0.000  0.500  0.000 x2

formation energy without anion corrections = 1.276 eV per atom



# 10
Density functional theory data (PBE-GGA) for a relaxed SrLaSc2Os crystal.

a = 5.274 Å, b = 5.274 Å, c = 5.583 Å
α = 90.00°, β = 90.00°, γ = 90.00°
Space group P4/mmm (No. 123)
Symmetry-distinct sites (fractional):
Sr  0.000  0.000  0.000 x1
La  0.500  0.500  0.000 x1
Sc  0.000  0.500  0.500 x2
Os  0.500  0.500  0.500 x1

energy of formation = -0.055 eV per atom



# 11
Density functional theory data (PBE-GGA) for a relaxed LaSc2TcOs crystal.

a = 4.852 Å, b = 4.852 Å, c = 5.151 Å
α = 90.00°, β = 90.00°, γ = 90.00°
Space group P4/mmm (No. 123)
Symmetry-distinct sites (fractional):
La  0.000  0.000  0.000 x1
Sc  0.000  0.500  0.500 x2
Tc  0.000  0.000  0.500 x1
Os  0.500  0.500  0.000 x1

energy of formation = 0.718 eV per atom



# 12
Density functional theory data (PBE-GGA) for a relaxed LaScTi2Os crystal.

a = 4.484 Å, b = 4.484 Å, c = 5.418 Å
α = 90.00°, β = 90.00°, γ = 90.00°
Space group P4/mmm (No. 123)
Symmetry-distinct sites (fractional):
La  0.000  0.000  0.000 x1
Sc  0.000  0.000  0.500 x1
Ti  0.000  0.500  0.500 x2
Os  0.500  0.500  0.000 x1

energy of formation = 1.477 eV per atom